(1)
A relaxed TaMn2Cu crystal. Source: Alexandria, functional PBE.

Geometry as POSCAR:
```
TaMn2Cu
1.0
-4.670 -2.972 -3.801
2.597 -6.007 1.506
-2.625 -4.654 0.933
Mn Cu Ta
4 2 2
Cartesian
-3.186 -3.731 -1.902 Mn
0.318 -5.330 0.647 Mn
-2.711 -6.941 -0.140 Mn
-3.819 -11.264 -1.329 Mn
-1.037 -4.489 -1.148 Cu
-0.533 -7.575 0.646 Cu
0.000 0.000 0.000 Ta
-4.166 -6.058 -2.008 Ta
```

formation energy: 0.5721 eV/atom
N(E_F): 3.48 states/eV/f.u.

(2)
A relaxed TiIn2Pd8 crystal. Source: Alexandria, functional PBE.

Geometry as POSCAR:
```
TiIn2Pd8
1.0
-2.562 2.758 1.171
-5.825 -4.050 -3.206
3.381 -2.333 6.256
Ti In Pd
1 2 8
Cartesian
-1.281 1.379 0.586 Ti
-3.174 -2.984 0.083 In
-1.831 -0.642 4.138 In
-5.912 -2.639 -0.085 Pd
-1.994 -3.003 2.710 Pd
-0.256 -0.940 1.653 Pd
-1.458 -1.014 -0.803 Pd
-4.749 -2.685 2.568 Pd
-3.011 -0.622 1.512 Pd
0.907 -0.987 4.306 Pd
-3.547 -2.611 5.024 Pd
```

formation energy: -0.4683 eV/atom
N(E_F): 7.05 states/eV/f.u.

(3)
A relaxed NaNbSe3 crystal. Source: Alexandria, functional PBE.

Geometry as POSCAR:
```
NaNbSe3
1.0
6.428 0.000 0.000
0.000 7.153 -3.099
0.000 -0.550 10.960
Na Nb Se
4 4 12
Cartesian
4.576 6.657 0.815 Na
1.852 -0.055 7.046 Na
1.362 3.796 0.016 Na
5.066 2.806 7.845 Na
1.834 6.128 7.328 Nb
4.594 0.475 0.533 Nb
5.048 3.776 4.464 Nb
1.380 2.826 3.398 Nb
2.219 1.264 1.635 Se
4.209 5.338 6.226 Se
5.433 2.037 2.295 Se
0.995 4.565 5.566 Se
0.003 5.842 -1.941 Se
6.425 0.760 9.802 Se
3.217 4.612 2.773 Se
3.211 1.991 5.089 Se
3.256 5.465 -1.722 Se
3.173 1.137 9.583 Se
0.041 4.989 2.554 Se
6.387 1.614 5.308 Se
```

N(E_F): 1.70 states/eV/f.u.
formation energy from raw total energies: -0.743 eV/atom
E above lowest polymorph: 0.022 eV per atom

Please write out number 3 again, unchanged.
A relaxed NaNbSe3 crystal. Source: Alexandria, functional PBE.

Geometry as POSCAR:
```
NaNbSe3
1.0
6.428 0.000 0.000
0.000 7.153 -3.099
0.000 -0.550 10.960
Na Nb Se
4 4 12
Cartesian
4.576 6.657 0.815 Na
1.852 -0.055 7.046 Na
1.362 3.796 0.016 Na
5.066 2.806 7.845 Na
1.834 6.128 7.328 Nb
4.594 0.475 0.533 Nb
5.048 3.776 4.464 Nb
1.380 2.826 3.398 Nb
2.219 1.264 1.635 Se
4.209 5.338 6.226 Se
5.433 2.037 2.295 Se
0.995 4.565 5.566 Se
0.003 5.842 -1.941 Se
6.425 0.760 9.802 Se
3.217 4.612 2.773 Se
3.211 1.991 5.089 Se
3.256 5.465 -1.722 Se
3.173 1.137 9.583 Se
0.041 4.989 2.554 Se
6.387 1.614 5.308 Se
```

N(E_F): 1.70 states/eV/f.u.
formation energy from raw total energies: -0.743 eV/atom
E above lowest polymorph: 0.022 eV per atom

> Which value of N(E_F) does entry 2 give?

7.05 states/eV/f.u.